No. 1
## Sc2TlAs (PBE-GGA)

Data for Sc2TlAs after structural relaxation.

Lattice parameters (Å, degrees): 3.4971 3.4971 7.0425 90.00 90.00 90.00
Positions (direct):
Sc: 0.0000 0.0000 0.2132
Sc: 0.0000 0.0000 0.7868
Tl: 0.5000 0.5000 0.5000
As: 0.5000 0.5000 0.0000

Computed properties:
Formation energy from the elements (meV per atom): -589
Fermi-level density of states (states/eV per atom): 0.9939
Theoretical density (g/cm³): 7.1
Total magnetic moment (μB/cell): 0.65
Energy relative to the lowest polymorph listed for this composition (eV/f.u.): 0.83

No. 2
## PuCuTe2 (PBE-GGA)

Data for PuCuTe2 after structural relaxation.

Lattice parameters (Å, degrees): 16.3721 3.5297 7.6347 90.00 90.00 90.00
Positions (direct):
Pu: 0.0460 0.2500 0.0291
Pu: 0.4540 0.7500 0.5291
Pu: 0.5460 0.2500 0.4709
Pu: 0.9540 0.7500 0.9709
Cu: 0.0265 0.7500 0.3743
Cu: 0.4735 0.2500 0.8743
Cu: 0.5265 0.7500 0.1257
Cu: 0.9735 0.2500 0.6257
Te: 0.0922 0.7500 0.6949
Te: 0.1679 0.7500 0.2115
Te: 0.3321 0.2500 0.7115
Te: 0.4078 0.2500 0.1949
Te: 0.5922 0.7500 0.8051
Te: 0.6679 0.7500 0.2885
Te: 0.8321 0.2500 0.7885
Te: 0.9078 0.2500 0.3051

Computed properties:
ΔE_f (raw) (kcal/mol of atoms): -6.66
Fermi-level density of states (states/eV per atom): 0.7826
Theoretical density (g/cm³): 8.5
Total magnetic moment (μB/cell): 4.42

No. 3
## VPd2Rh (PBE-GGA)

Data for VPd2Rh after structural relaxation.

Lattice parameters (Å, degrees): 7.0276 7.0276 5.1353 90.00 90.00 90.00
Positions (direct):
V: 0.0000 0.0000 0.0000
V: 0.0000 0.5000 0.2500
V: 0.5000 0.0000 0.7500
V: 0.5000 0.5000 0.5000
Pd: 0.2164 0.2500 0.1250
Pd: 0.2500 0.7164 0.3750
Pd: 0.2500 0.7836 0.8750
Pd: 0.2836 0.2500 0.6250
Pd: 0.7164 0.7500 0.6250
Pd: 0.7500 0.2164 0.8750
Pd: 0.7500 0.2836 0.3750
Pd: 0.7836 0.7500 0.1250
Rh: 0.0000 0.0000 0.5000
Rh: 0.0000 0.5000 0.7500
Rh: 0.5000 0.0000 0.2500
Rh: 0.5000 0.5000 0.0000

Computed properties:
Formation energy from the elements (meV per atom): 227
Fermi-level density of states (states/eV per atom): 1.0713
Theoretical density (g/cm³): 9.6
Total magnetic moment (μB/cell): 2.22
Energy relative to the lowest polymorph listed for this composition (eV/f.u.): 1.92

No. 4
## Cd7Cl12F (PBE-GGA)

Data for Cd7Cl12F after structural relaxation.

Lattice parameters (Å, degrees): 8.7262 8.7262 8.7262 107.59 107.59 107.59
Positions (direct):
Cd: 0.0000 0.0000 0.0000
Cd: 0.1521 0.4685 0.3797
Cd: 0.3797 0.1521 0.4685
Cd: 0.4685 0.3797 0.1521
Cd: 0.5315 0.6203 0.8479
Cd: 0.6203 0.8479 0.5315
Cd: 0.8479 0.5315 0.6203
Cl: 0.0567 0.1280 0.3419
Cl: 0.1280 0.3419 0.0567
Cl: 0.1943 0.5772 0.7079
Cl: 0.2921 0.8057 0.4228
Cl: 0.3419 0.0567 0.1280
Cl: 0.4228 0.2921 0.8057
Cl: 0.5772 0.7079 0.1943
Cl: 0.6581 0.9433 0.8720
Cl: 0.7079 0.1943 0.5772
Cl: 0.8057 0.4228 0.2921
Cl: 0.8720 0.6581 0.9433
Cl: 0.9433 0.8720 0.6581
F: 0.5000 0.5000 0.5000

Computed properties:
ΔE_f (raw) (kcal/mol of atoms): -24.32
Fermi-level density of states (states/eV per atom): 0.1487
Theoretical density (g/cm³): 3.8
Total magnetic moment (μB/cell): 0.00

No. 5
## CaCdCl3 (PBE-GGA)

Data for CaCdCl3 after structural relaxation.

Lattice parameters (Å, degrees): 5.3423 5.3423 5.3423 90.00 90.00 90.00
Positions (direct):
Ca: 0.0000 0.0000 0.0000
Cd: 0.5000 0.5000 0.5000
Cl: 0.0000 0.0000 0.5000
Cl: 0.0000 0.5000 0.0000
Cl: 0.5000 0.0000 0.0000

Computed properties:
ΔE_f (raw) (kcal/mol of atoms): -32.67
Fermi-level density of states (states/eV per atom): 0.4512
Theoretical density (g/cm³): 2.8
Total magnetic moment (μB/cell): 0.86
Energy relative to the lowest polymorph listed for this composition (eV/f.u.): 0.00

No. 6
## InWC3 (PBE-GGA)

Data for InWC3 after structural relaxation.

Lattice parameters (Å, degrees): 4.1138 4.1138 4.1138 90.00 90.00 90.00
Positions (direct):
In: 0.0000 0.0000 0.0000
W: 0.5000 0.5000 0.5000
C: 0.0000 0.0000 0.5000
C: 0.0000 0.5000 0.0000
C: 0.5000 0.0000 0.0000

Computed properties:
Formation energy from the elements (meV per atom): 3560
Fermi-level density of states (states/eV per atom): 0.6161
Theoretical density (g/cm³): 8.0
Total magnetic moment (μB/cell): 0.00
Energy relative to the lowest polymorph listed for this composition (eV/f.u.): 9.41

No. 7
## PrDyPdRu (PBE-GGA)

Data for PrDyPdRu after structural relaxation.

Lattice parameters (Å, degrees): 7.0458 7.0458 7.0458 90.00 90.00 90.00
Positions (direct):
Pr: 0.0000 0.0000 0.0000
Pr: 0.0000 0.5000 0.5000
Pr: 0.5000 0.0000 0.5000
Pr: 0.5000 0.5000 0.0000
Dy: 0.0000 0.0000 0.5000
Dy: 0.0000 0.5000 0.0000
Dy: 0.5000 0.0000 0.0000
Dy: 0.5000 0.5000 0.5000
Pd: 0.2500 0.2500 0.2500
Pd: 0.2500 0.7500 0.7500
Pd: 0.7500 0.2500 0.7500
Pd: 0.7500 0.7500 0.2500
Ru: 0.2500 0.2500 0.7500
Ru: 0.2500 0.7500 0.2500
Ru: 0.7500 0.2500 0.2500
Ru: 0.7500 0.7500 0.7500

Computed properties:
Formation energy from the elements (meV per atom): -498
Fermi-level density of states (states/eV per atom): 0.7823
Theoretical density (g/cm³): 9.7
Total magnetic moment (μB/cell): 0.00

> Look up the Fermi-level density of states of the third one.

1.0713 states/eV per atom

> Which of these has the highest Fermi-level density of states?

VPd2Rh

> Which formula does entry 5 have?

CaCdCl3

> What is the Fermi-level density of states in the first record?

0.9939 states/eV per atom